This record from Alexandria describes a relaxed CePaSnGe crystal. The functional is PBE-GGA.

The structure belongs to space group F-43m (No. 216); the cell edges are 7.3920, 7.3920 and 7.3920 Å and the angles 90.00°, 90.00° and 90.00°. The distinct sites, in fractional coordinates, are Ce at (0.0000, 0.0000, 0.0000), Pa at (0.0000, 0.0000, 0.5000), Sn at (0.2500, 0.2500, 0.7500) and Ge at (0.2500, 0.2500, 0.2500).

The total energy comes out at -100.672 eV per cell. The formation energy from the elements comes out at -1.1 eV per formula unit.

=====

This record from Alexandria describes a relaxed CePa2Zn2Ge2 crystal. The functional is PBE-GGA.

The structure belongs to space group R-3m (No. 166, hexagonal axes); the cell edges are 4.2779, 4.2779 and 27.6736 Å and the angles 90.00°, 90.00° and 120.00°. The distinct sites, in fractional coordinates, are Ce at (0.0000, 0.0000, 0.0000), Pa at (0.0000, 0.0000, 0.1422), Zn at (0.0000, 0.0000, 0.4074) and Ge at (0.0000, 0.0000, 0.2634).

The total energy comes out at -113.899 eV per cell. The formation energy from the elements comes out at -1.3 eV per formula unit.

=====

This record from Alexandria describes a relaxed CeGe2Pb crystal. The functional is PBE-GGA.

The structure belongs to space group R-3m (No. 166, hexagonal axes); the cell edges are 4.7804, 4.7804 and 21.9292 Å and the angles 90.00°, 90.00° and 120.00°. The distinct sites, in fractional coordinates, are Ce at (0.0000, 0.0000, 0.0000), Ge at (0.0000, 0.0000, 0.3785) and Pb at (0.0000, 0.0000, 0.5000).

The total energy comes out at -53.695 eV per cell. The formation energy from the elements comes out at 1.0 eV per formula unit.